# 1
Computed, not measured: a geometry-optimized TlFe2Rh structure at the PBE-GGA level of DFT.

Cell: 4.9046 4.9046 4.9046 Å, 133.44 133.44 67.97°
Closest atoms and distances in Å follow each position.
Fractional positions:
Tl (0.0000, 0.0000, 0.0000)  4 Rh 2.74, 8 Fe 2.81
Fe (0.2500, 0.7500, 0.5000)  4 Fe 2.74, 4 Tl 2.81, 4 Rh 2.81
Fe (0.7500, 0.2500, 0.5000)  4 Fe 2.74, 4 Tl 2.81, 4 Rh 2.81
Rh (0.5000, 0.5000, 0.0000)  4 Tl 2.74, 8 Fe 2.81

Summary:
Fermi-level density of states, states/eV/atom: 0.999
Energy relative to the elements, eV per atom: 0.3146
Crystal system: tetragonal
Density, g/cm³: 11.4

# 2
Computed, not measured: a geometry-optimized CrCI3 structure at the PBE-GGA level of DFT.

Cell: 5.1136 5.1136 5.1136 Å, 90.00 90.00 90.00°
Closest atoms and distances in Å follow each position.
Fractional positions:
Cr (0.0000, 0.0000, 0.0000)  12 I 3.62
C (0.5000, 0.5000, 0.5000)  6 I 2.56
I (0.0000, 0.5000, 0.5000)  2 C 2.56
I (0.5000, 0.0000, 0.5000)  2 C 2.56
I (0.5000, 0.5000, 0.0000)  2 C 2.56

Summary:
ΔE_f (raw), eV per formula unit: 6.49
Fermi-level density of states, states/eV/atom: 0.936
Crystal system: cubic
Density, g/cm³: 5.5

# 3
Computed, not measured: a geometry-optimized CeY4Ho3 structure at the PBE-GGA level of DFT.

Cell: 11.8461 11.8461 6.7129 Å, 106.37 106.37 16.66°
Closest atoms and distances in Å follow each position.
Fractional positions:
Ce (0.0000, 0.0000, 0.0000)  2 Ce 3.43, 8 Ho 3.65-3.77, 4 Y 3.66
Y (0.2409, 0.2409, 0.2430)  9 Y 3.43-3.82, 3 Ho 3.49-3.52
Y (0.3757, 0.3757, 0.1192)  3 Ho 3.26-3.45, 5 Y 3.43-3.54
Y (0.6243, 0.6243, 0.8808)  3 Ho 3.26-3.45, 5 Y 3.43-3.54
Y (0.7591, 0.7591, 0.7570)  9 Y 3.43-3.82, 3 Ho 3.49-3.52
Ho (0.3760, 0.3760, 0.6342)  5 Y 3.26-3.52, 3 Ho 3.28-3.43
Ho (0.5000, 0.5000, 0.5000)  4 Ho 3.28-3.43, 2 Y 3.28
Ho (0.6240, 0.6240, 0.3658)  5 Y 3.26-3.52, 3 Ho 3.28-3.43

Summary:
Fermi-level density of states, states/eV/atom: 2.072
Energy relative to the elements, eV per atom: 0.1940
Crystal system: monoclinic
Density, g/cm³: 6.4

# 4
Computed, not measured: a geometry-optimized PmNdTm14 structure at the PBE-GGA level of DFT.

Cell: 11.0159 6.8687 6.8687 Å, 71.38 90.00 90.00°
Closest atoms and distances in Å follow each position.
Fractional positions:
Pm (0.0000, 0.0000, 0.0000)  12 Tm 3.43-3.76
Nd (0.0000, 0.5549, 0.5549)  10 Tm 3.37-3.51
Tm (0.0000, 0.0714, 0.4823)  7 Tm 3.29-3.60, 2 Nd 3.42-3.51, 2 Pm 3.43-3.50
Tm (0.0000, 0.4823, 0.0714)  7 Tm 3.29-3.60, 2 Nd 3.42-3.51, 2 Pm 3.43-3.50
Tm (0.2374, 0.7573, 0.7573)  9 Tm 3.41-3.68, 1 Nd 3.46, 1 Pm 3.76
Tm (0.2536, 0.2696, 0.6916)  9 Tm 3.29-3.60, 1 Nd 3.37, 1 Pm 3.64
Tm (0.2536, 0.6916, 0.2696)  9 Tm 3.29-3.60, 1 Nd 3.37, 1 Pm 3.64
Tm (0.2685, 0.2051, 0.2051)  10 Tm 3.42-3.73, 1 Pm 3.74
Tm (0.5000, 0.4112, 0.4112)  10 Tm 3.29-3.51
Tm (0.5000, 0.4829, 0.8953)  11 Tm 3.31-3.57
Tm (0.5000, 0.8953, 0.4829)  11 Tm 3.31-3.57
Tm (0.5000, 0.9609, 0.9609)  12 Tm 3.45-3.73
Tm (0.7315, 0.2051, 0.2051)  10 Tm 3.42-3.73, 1 Pm 3.74
Tm (0.7464, 0.2696, 0.6916)  9 Tm 3.29-3.60, 1 Nd 3.37, 1 Pm 3.64
Tm (0.7464, 0.6916, 0.2696)  9 Tm 3.29-3.60, 1 Nd 3.37, 1 Pm 3.64
Tm (0.7626, 0.7573, 0.7573)  9 Tm 3.41-3.68, 1 Nd 3.46, 1 Pm 3.76

Summary:
Fermi-level density of states, states/eV/atom: 1.773
Energy relative to the elements, eV per atom: 0.0605
Crystal system: orthorhombic
Density, g/cm³: 8.9

# 5
Computed, not measured: a geometry-optimized Sr8SbP4 structure at the PBE-GGA level of DFT.

Cell: 8.9436 8.9436 10.8184 Å, 126.89 126.89 60.41°
Closest atoms and distances in Å follow each position.
Fractional positions:
Sr (0.0054, 0.4590, 0.6649)  3 P 2.97-3.11
Sr (0.0063, 0.0063, 0.1928)  3 P 3.06-3.07, 1 Sb 3.39
Sr (0.4590, 0.0054, 0.6649)  3 P 2.97-3.11
Sr (0.4747, 0.4747, 0.1605)  3 P 2.92-2.99
Sr (0.5253, 0.5253, 0.8395)  3 P 2.92-2.99
Sr (0.5410, 0.9946, 0.3351)  3 P 2.97-3.11
Sr (0.9937, 0.9937, 0.8072)  3 P 3.06-3.07, 1 Sb 3.39
Sr (0.9946, 0.5410, 0.3351)  3 P 2.97-3.11
Sb (0.0000, 0.0000, 0.5000)  6 Sr 3.37-3.39
P (0.2554, 0.7446, 0.0000)  6 Sr 2.99-3.08
P (0.2798, 0.2798, 0.5014)  6 Sr 2.92-3.11
P (0.7202, 0.7202, 0.4986)  6 Sr 2.92-3.11
P (0.7446, 0.2554, 0.0000)  6 Sr 2.99-3.08

Summary:
ΔE_f (raw), eV per formula unit: -12.33
Fermi-level density of states, states/eV/atom: 0.207
Crystal system: monoclinic
Density, g/cm³: 2.9

# 6
Computed, not measured: a geometry-optimized Na2MgSn structure at the PBE-GGA level of DFT.

Cell: 5.0706 5.0706 10.0696 Å, 90.00 90.00 120.00°
Closest atoms and distances in Å follow each position.
Fractional positions:
Na (0.3333, 0.6667, 0.0797)  4 Sn 3.32-3.39, 4 Na 3.34-3.43, 3 Mg 3.39
Na (0.3333, 0.6667, 0.4203)  4 Sn 3.32-3.39, 4 Na 3.34-3.43, 3 Mg 3.39
Na (0.6667, 0.3333, 0.5797)  4 Sn 3.32-3.39, 4 Na 3.34-3.43, 3 Mg 3.39
Na (0.6667, 0.3333, 0.9203)  4 Sn 3.32-3.39, 4 Na 3.34-3.43, 3 Mg 3.39
Mg (0.0000, 0.0000, 0.2500)  3 Sn 2.93
Mg (0.0000, 0.0000, 0.7500)  3 Sn 2.93
Sn (0.3333, 0.6667, 0.7500)  3 Mg 2.93
Sn (0.6667, 0.3333, 0.2500)  3 Mg 2.93

Summary:
Fermi-level density of states, states/eV/atom: 0.122
Energy relative to the elements, eV per atom: -0.2076
Crystal system: hexagonal
Density, g/cm³: 2.8

# 7
Computed, not measured: a geometry-optimized NbPO2F structure at the PBE-GGA level of DFT.

Cell: 3.8515 3.8515 5.4056 Å, 90.00 90.00 90.00°
Closest atoms and distances in Å follow each position.
Fractional positions:
Nb (0.0000, 0.0000, 0.0000)  4 O 1.93
P (0.0000, 0.0000, 0.5000)  2 Nb 2.70, 4 F 2.72
O (0.0000, 0.5000, 0.0000)  2 Nb 1.93
O (0.5000, 0.0000, 0.0000)  2 Nb 1.93
F (0.5000, 0.5000, 0.5000)  4 P 2.72

Summary:
ΔE_f (raw), eV per formula unit: -6.07
Fermi-level density of states, states/eV/atom: 0.352
Crystal system: tetragonal
Density, g/cm³: 3.6

# 8
Computed, not measured: a geometry-optimized PrReP2 structure at the PBE-GGA level of DFT.

Cell: 3.1254 3.1254 6.9922 Å, 90.00 90.00 90.00°
Closest atoms and distances in Å follow each position.
Fractional positions:
Pr (0.0000, 0.0000, 0.0000)  8 P 3.07, 4 Pr 3.13
Re (0.0000, 0.0000, 0.5000)  8 P 2.60
P (0.5000, 0.5000, 0.3041)  4 Re 2.60, 1 P 2.74
P (0.5000, 0.5000, 0.6959)  4 Re 2.60, 1 P 2.74

Summary:
Fermi-level density of states, states/eV/atom: 0.589
Energy relative to the elements, eV per atom: -0.3373
Crystal system: tetragonal
Density, g/cm³: 9.5